1.
A plane-wave DFT calculation with GGA-PBE was carried out for crystalline Ce2InCu2Pd5 at its relaxed geometry.

Properties
* symmetry: P4/mbm (127)
* VASP energy: -5.452 eV/atom
* DOS at the Fermi energy: 29.6 states/eV per cell
* density: 9.622 g/cm3
* DFT formation energy: -0.576 eV/atom

Unit cell a=9.661 b=9.661 c=3.898 alpha=90.00 beta=90.00 gamma=90.00
Positions (direct):
Ce  0.175  0.325  0.000
Ce  0.325  0.825  0.000
Ce  0.675  0.175  0.000
Ce  0.825  0.675  0.000
In  0.000  0.000  0.000
In  0.500  0.500  0.000
Cu  0.121  0.621  0.000
Cu  0.379  0.121  0.000
Cu  0.621  0.879  0.000
Cu  0.879  0.379  0.000
Pd  0.000  0.500  0.500
Pd  0.069  0.792  0.500
Pd  0.208  0.069  0.500
Pd  0.292  0.569  0.500
Pd  0.431  0.292  0.500
Pd  0.500  0.000  0.500
Pd  0.569  0.708  0.500
Pd  0.708  0.431  0.500
Pd  0.792  0.931  0.500
Pd  0.931  0.208  0.500

2.
A plane-wave DFT calculation with GGA-PBE was carried out for crystalline Cs2RbAg at its relaxed geometry.

Properties
* symmetry: Fm-3m (225)
* VASP energy: -1.245 eV/atom
* DOS at the Fermi energy: 1.3 states/eV per cell
* density: 3.018 g/cm3
* DFT formation energy: 0.137 eV/atom

Unit cell a=7.095 b=7.095 c=7.095 alpha=60.00 beta=60.00 gamma=60.00
Positions (direct):
Cs  0.250  0.250  0.250
Cs  0.750  0.750  0.750
Rb  0.000  0.000  0.000
Ag  0.500  0.500  0.500

3.
A plane-wave DFT calculation with GGA-PBE was carried out for crystalline Tb4SmTm2Th at its relaxed geometry.

Properties
* symmetry: Pmmm (47)
* VASP energy: -4.921 eV/atom
* DOS at the Fermi energy: 22.3 states/eV per cell
* density: 8.859 g/cm3
* DFT formation energy: 0.029 eV/atom

Unit cell a=7.118 b=7.125 c=10.023 alpha=90.00 beta=90.00 gamma=90.00
Positions (direct):
Tb  0.248  0.247  0.248
Tb  0.248  0.247  0.752
Tb  0.248  0.753  0.248
Tb  0.248  0.753  0.752
Tb  0.752  0.247  0.248
Tb  0.752  0.247  0.752
Tb  0.752  0.753  0.248
Tb  0.752  0.753  0.752
Sm  0.500  0.000  0.500
Sm  0.500  0.500  0.500
Tm  0.000  0.000  0.000
Tm  0.000  0.500  0.000
Tm  0.000  0.500  0.500
Tm  0.500  0.500  0.000
Th  0.000  0.000  0.500
Th  0.500  0.000  0.000

4.
A plane-wave DFT calculation with GGA-PBE was carried out for crystalline MnSbPb2 at its relaxed geometry.

Properties
* symmetry: I-42d (122)
* VASP energy: -4.811 eV/atom
* formation energy (no corrections): 0.37 eV/atom
* DOS at the Fermi energy: 5.5 states/eV per cell
* density: 8.788 g/cm3

Unit cell a=11.880 b=11.880 c=11.880 alpha=158.58 beta=158.58 gamma=30.47
Positions (direct):
Mn  0.000  0.000  0.000
Mn  0.750  0.250  0.500
Sb  0.250  0.750  0.500
Sb  0.500  0.500  0.000
Pb  0.123  0.625  0.998
Pb  0.375  0.373  0.498
Pb  0.627  0.125  0.002
Pb  0.875  0.877  0.502

5.
A plane-wave DFT calculation with GGA-PBE was carried out for crystalline Sr2LiCl at its relaxed geometry.

Properties
* symmetry: P4mm (99)
* VASP energy: -2.484 eV/atom
* formation energy (no corrections): -0.70 eV/atom
* DOS at the Fermi energy: 2.7 states/eV per cell
* density: 2.161 g/cm3

Unit cell a=3.915 b=3.915 c=10.909 alpha=90.00 beta=90.00 gamma=90.00
Positions (direct):
Sr  0.000  0.000  0.000
Sr  0.500  0.500  0.311
Li  0.500  0.500  0.768
Cl  0.000  0.000  0.434

6.
A plane-wave DFT calculation with GGA-PBE was carried out for crystalline Li2Eu4H at its relaxed geometry.

Properties
* symmetry: I4/mmm (139)
* VASP energy: -6.914 eV/atom
* DOS at the Fermi energy: 22.3 states/eV per cell
* density: 4.700 g/cm3

Unit cell a=9.606 b=9.606 c=9.606 alpha=150.08 beta=150.08 gamma=42.83
Positions (direct):
Li  0.133  0.133  0.000
Li  0.867  0.867  0.000
Eu  0.000  0.500  0.500
Eu  0.321  0.321  0.000
Eu  0.500  0.000  0.500
Eu  0.679  0.679  0.000
H  0.500  0.500  0.000

7.
A plane-wave DFT calculation with GGA-PBE was carried out for crystalline LiEuGdTl at its relaxed geometry.

Properties
* symmetry: F-43m (216)
* VASP energy: -7.349 eV/atom
* DOS at the Fermi energy: 10.5 states/eV per cell
* density: 7.488 g/cm3
* DFT formation energy: -0.190 eV/atom

Unit cell a=5.465 b=5.465 c=5.465 alpha=60.00 beta=60.00 gamma=60.00
Positions (direct):
Li  0.000  0.000  0.000
Eu  0.250  0.250  0.250
Gd  0.750  0.750  0.750
Tl  0.500  0.500  0.500

8.
A plane-wave DFT calculation with GGA-PBE was carried out for crystalline PrIrPb2O6 at its relaxed geometry.

Properties
* symmetry: P2_1/c (14)
* VASP energy: -6.571 eV/atom
* formation energy (no corrections): -1.49 eV/atom
* DOS at the Fermi energy: 12.7 states/eV per cell
* density: 9.319 g/cm3

Unit cell a=6.004 b=5.935 c=10.349 alpha=90.00 beta=125.40 gamma=90.00
Positions (direct):
Pr  0.000  0.000  0.000
Pr  0.000  0.500  0.500
Ir  0.500  0.000  0.500
Ir  0.500  0.500  0.000
Pb  0.252  0.033  0.759
Pb  0.252  0.467  0.259
Pb  0.748  0.533  0.741
Pb  0.748  0.967  0.241
O  0.180  0.188  0.444
O  0.180  0.312  0.944
O  0.288  0.718  0.459
O  0.288  0.782  0.959
O  0.368  0.017  0.274
O  0.368  0.483  0.774
O  0.632  0.517  0.226
O  0.632  0.983  0.726
O  0.712  0.218  0.041
O  0.712  0.282  0.541
O  0.820  0.688  0.056
O  0.820  0.812  0.556